{"formula": "Rb3Ba5Cl12", "functional": "PBE-GGA", "state": "optimized geometry", "lattice_angstrom": [[-9.5584, 9.5584, 9.5584], [9.5584, -9.5584, 9.5584], [9.5584, 9.5584, -9.5584]], "species": ["Rb", "Rb", "Rb", "Rb", "Rb", "Rb", "Rb", "Rb", "Rb", "Rb", "Rb", "Rb", "Ba", "Ba", "Ba", "Ba", "Ba", "Ba", "Ba", "Ba", "Ba", "Ba", "Ba", "Ba", "Ba", "Ba", "Ba", "Ba", "Ba", "Ba", "Ba", "Ba", "Cl", "Cl", "Cl", "Cl", "Cl", "Cl", "Cl", "Cl", "Cl", "Cl", "Cl", "Cl", "Cl", "Cl", "Cl", "Cl", "Cl", "Cl", "Cl", "Cl", "Cl", "Cl", "Cl", "Cl", "Cl", "Cl", "Cl", "Cl", "Cl", "Cl", "Cl", "Cl", "Cl", "Cl", "Cl", "Cl", "Cl", "Cl", "Cl", "Cl", "Cl", "Cl", "Cl", "Cl", "Cl", "Cl", "Cl", "Cl"], "frac_coords": [[0.1250, 0.2500, 0.3750], [0.1250, 0.3750, 0.7500], [0.2500, 0.3750, 0.1250], [0.2500, 0.8750, 0.6250], [0.3750, 0.1250, 0.2500], [0.3750, 0.7500, 0.1250], [0.6250, 0.2500, 0.8750], [0.6250, 0.8750, 0.7500], [0.7500, 0.1250, 0.3750], [0.7500, 0.6250, 0.8750], [0.8750, 0.6250, 0.2500], [0.8750, 0.7500, 0.6250], [0.0000, 0.0000, 0.0000], [0.0000, 0.0000, 0.5000], [0.0000, 0.5000, 0.0000], [0.0000, 0.5000, 0.5000], [0.1250, 0.7500, 0.8750], [0.1250, 0.8750, 0.2500], [0.2500, 0.1250, 0.8750], [0.2500, 0.6250, 0.3750], [0.3750, 0.2500, 0.6250], [0.3750, 0.6250, 0.7500], [0.5000, 0.0000, 0.0000], [0.5000, 0.0000, 0.5000], [0.5000, 0.5000, 0.0000], [0.5000, 0.5000, 0.5000], [0.6250, 0.3750, 0.2500], [0.6250, 0.7500, 0.3750], [0.7500, 0.3750, 0.6250], [0.7500, 0.8750, 0.1250], [0.8750, 0.1250, 0.7500], [0.8750, 0.2500, 0.1250], [0.0369, 0.2088, 0.1290], [0.0369, 0.3280, 0.9079], [0.0798, 0.7088, 0.6720], [0.0798, 0.8710, 0.4079], [0.0921, 0.6290, 0.4202], [0.0921, 0.9631, 0.6720], [0.1290, 0.0369, 0.2088], [0.1290, 0.5921, 0.9202], [0.1720, 0.2088, 0.5798], [0.1720, 0.4631, 0.5921], [0.2088, 0.1290, 0.0369], [0.2088, 0.5798, 0.1720], [0.2912, 0.3280, 0.9202], [0.2912, 0.4631, 0.3710], [0.3280, 0.9079, 0.0369], [0.3280, 0.9202, 0.2912], [0.3710, 0.2912, 0.4631], [0.3710, 0.5798, 0.9079], [0.4079, 0.0798, 0.8710], [0.4079, 0.8280, 0.5369], [0.4202, 0.0921, 0.6290], [0.4202, 0.8280, 0.7912], [0.4631, 0.3710, 0.2912], [0.4631, 0.5921, 0.1720], [0.5369, 0.4079, 0.8280], [0.5369, 0.6290, 0.7088], [0.5798, 0.1720, 0.2088], [0.5798, 0.9079, 0.3710], [0.5921, 0.1720, 0.4631], [0.5921, 0.9202, 0.1290], [0.6290, 0.4202, 0.0921], [0.6290, 0.7088, 0.5369], [0.6720, 0.0798, 0.7088], [0.6720, 0.0921, 0.9631], [0.7088, 0.5369, 0.6290], [0.7088, 0.6720, 0.0798], [0.7912, 0.4202, 0.8280], [0.7912, 0.8710, 0.9631], [0.8280, 0.5369, 0.4079], [0.8280, 0.7912, 0.4202], [0.8710, 0.4079, 0.0798], [0.8710, 0.9631, 0.7912], [0.9079, 0.0369, 0.3280], [0.9079, 0.3710, 0.5798], [0.9202, 0.1290, 0.5921], [0.9202, 0.2912, 0.3280], [0.9631, 0.6720, 0.0921], [0.9631, 0.7912, 0.8710]], "total_energy_ev_per_atom": -3.909, "mass_density_g_cm3": 2.6, "dos_at_fermi_per_ev_cell": 8.3}


{"formula": "CdHg", "functional": "PBE-GGA", "state": "optimized geometry", "lattice_angstrom": [[8.2106, 0.0000, 0.0000], [0.0000, 8.2106, 0.0000], [0.0000, 0.0000, 8.2106]], "species": ["Cd", "Cd", "Cd", "Cd", "Cd", "Cd", "Hg", "Hg", "Hg", "Hg", "Hg", "Hg"], "frac_coords": [[0.0000, 0.2500, 0.5000], [0.0000, 0.7500, 0.5000], [0.2500, 0.5000, 0.0000], [0.5000, 0.0000, 0.2500], [0.5000, 0.0000, 0.7500], [0.7500, 0.5000, 0.0000], [0.0000, 0.5000, 0.2500], [0.0000, 0.5000, 0.7500], [0.2500, 0.0000, 0.5000], [0.5000, 0.2500, 0.0000], [0.5000, 0.7500, 0.0000], [0.7500, 0.0000, 0.5000]], "formation_energy_kj_per_mol_fu": 50, "total_energy_ev_per_atom": -0.351, "mass_density_g_cm3": 5.6, "dos_at_fermi_per_ev_cell": 3.2}


Number 1 is which compound? Rb3Ba5Cl12